--- P ---
Compound: TaAlFeAg
Source: OQMD
Functional: PBE
Structure: relaxed

```
data_TaAlFeAg
_space_group_name_H-M_alt 'F -4 3 m'
_space_group_IT_number 216
_space_group_name_Hall 'F -4 2 3'
_cell_length_a 6.3050
_cell_length_b 6.3050
_cell_length_c 6.3050
_cell_angle_alpha 90.00
_cell_angle_beta 90.00
_cell_angle_gamma 90.00
loop_
_atom_site_label
_atom_site_fract_x
_atom_site_fract_y
_atom_site_fract_z
Ta1 0.0000 0.0000 0.0000
Al1 0.2500 0.2500 0.2500
Fe1 0.0000 0.0000 0.5000
Ag1 0.2500 0.2500 0.7500
```

Output
As for the volume: 15.665 Å³ per atom. The calculation puts the total magnetization at 1.89 μB per formula unit. The value obtained for the density is 9.8 g/cm3.

--- Q ---
Compound: TaAlFeAg
Source: OQMD
Functional: PBE
Structure: relaxed

```
data_TaAlFeAg
_space_group_name_H-M_alt 'F -4 3 m'
_space_group_IT_number 216
_space_group_name_Hall 'F -4 2 3'
_cell_length_a 6.2582
_cell_length_b 6.2582
_cell_length_c 6.2582
_cell_angle_alpha 90.00
_cell_angle_beta 90.00
_cell_angle_gamma 90.00
loop_
_atom_site_label
_atom_site_fract_x
_atom_site_fract_y
_atom_site_fract_z
Ta1 0.0000 0.0000 0.0000
Al1 0.0000 0.0000 0.5000
Fe1 0.2500 0.2500 0.7500
Ag1 0.2500 0.2500 0.2500
```

Output
As for the volume: 15.319 Å³ per atom. The calculation puts the total magnetization at 1.19 μB per formula unit. The value obtained for the density is 10.1 g/cm3.

Relative energies, in meV per atom, with the most stable structure set to zero: P 223; Q 0.

--- P ---
Compound: PrAlAg2Ge
Source: OQMD
Functional: PBE
Structure: relaxed

```
data_PrAlAg2Ge
_space_group_name_H-M_alt 'P 4/n m m'
_space_group_IT_number 129
_cell_length_a 4.3290
_cell_length_b 4.3290
_cell_length_c 11.2262
_cell_angle_alpha 90.00
_cell_angle_beta 90.00
_cell_angle_gamma 90.00
loop_
_space_group_symop_operation_xyz
'x,y,z'
'-x,-y,-z'
'-y+1/2,x,z'
'y+1/2,-x,-z'
'-x+1/2,-y+1/2,z'
'x+1/2,y+1/2,-z'
'y,-x+1/2,z'
'-y,x+1/2,-z'
'x+1/2,-y,-z'
'-x+1/2,y,z'
'-y,-x,-z'
'y,x,z'
'-x,y+1/2,-z'
'x,-y+1/2,z'
'y+1/2,x+1/2,-z'
'-y+1/2,-x+1/2,z'
loop_
_atom_site_label
_atom_site_fract_x
_atom_site_fract_y
_atom_site_fract_z
Pr1 0.2500 0.2500 0.2424
Al1 0.2500 0.7500 0.5000
Ag1 0.2500 0.2500 0.6309
Ag2 0.2500 0.7500 0.0000
Ge1 0.2500 0.2500 0.8574
```

Output
As for the volume: 21.038 Å³ per atom. The calculation puts the total magnetization at 0.00 μB per formula unit. The value obtained for the density is 7.2 g/cm3.

--- Q ---
Compound: PrAlAg2Ge
Source: OQMD
Functional: PBE
Structure: relaxed

```
data_PrAlAg2Ge
_space_group_name_H-M_alt 'I 4 m m'
_space_group_IT_number 107
_space_group_name_Hall 'I 4 -2'
_cell_length_a 4.3582
_cell_length_b 4.3582
_cell_length_c 11.0694
_cell_angle_alpha 90.00
_cell_angle_beta 90.00
_cell_angle_gamma 90.00
loop_
_atom_site_label
_atom_site_fract_x
_atom_site_fract_y
_atom_site_fract_z
Pr1 0.0000 0.0000 0.0000
Al1 0.0000 0.0000 0.3794
Ag1 0.0000 0.5000 0.2481
Ge1 0.0000 0.0000 0.6033
```

Output
As for the volume: 21.025 Å³ per atom. The calculation puts the total magnetization at 0.00 μB per formula unit. The value obtained for the density is 7.2 g/cm3.

Relative energies, in meV per atom, with the most stable structure set to zero: P 21; Q 0.

--- P ---
Compound: Y3Al3Ag2Ge
Source: OQMD
Functional: PBE
Structure: relaxed

```
data_Y3Al3Ag2Ge
_space_group_name_H-M_alt 'P -6 2 m'
_space_group_IT_number 189
_space_group_name_Hall 'P -6 -2'
_cell_length_a 7.5230
_cell_length_b 7.5230
_cell_length_c 3.9403
_cell_angle_alpha 90.00
_cell_angle_beta 90.00
_cell_angle_gamma 120.00
loop_
_atom_site_label
_atom_site_fract_x
_atom_site_fract_y
_atom_site_fract_z
Y1 0.0000 0.6106 0.0000
Al1 0.0000 0.2570 0.5000
Ag1 0.3333 0.6667 0.5000
Ge1 0.0000 0.0000 0.0000
```

Output
As for the volume: 21.459 Å³ per atom. The calculation puts the total magnetization at 0.00 μB per formula unit. The value obtained for the density is 5.5 g/cm3.

--- Q ---
Compound: Y3Al3Ag2Ge
Source: OQMD
Functional: PBE
Structure: relaxed

```
data_Y3Al3Ag2Ge
_space_group_name_H-M_alt 'P -6 2 m'
_space_group_IT_number 189
_space_group_name_Hall 'P -6 -2'
_cell_length_a 8.2306
_cell_length_b 8.2306
_cell_length_c 3.4372
_cell_angle_alpha 90.00
_cell_angle_beta 90.00
_cell_angle_gamma 120.00
loop_
_atom_site_label
_atom_site_fract_x
_atom_site_fract_y
_atom_site_fract_z
Y1 0.0000 0.7175 0.0000
Al1 0.0000 0.3993 0.5000
Ag1 0.3333 0.6667 0.0000
Ge1 0.0000 0.0000 0.5000
```

Output
As for the volume: 22.406 Å³ per atom. The calculation puts the total magnetization at 0.03 μB per formula unit. The value obtained for the density is 5.2 g/cm3.

Relative energies, in meV per atom, with the most stable structure set to zero: P 0; Q 245.